HfNbGaFe GGA-PBE optimized geometry; relative energy among the computed polymorphs = 0.000 eV/atom; space group = No. 216
1.0
0.000 3.180 3.180
3.180 0.000 3.180
3.180 3.180 0.000
Nb Hf Ga Fe
1 1 1 1
Cartesian
1.590 1.590 1.590
3.180 3.180 3.180
0.000 0.000 0.000
4.769 4.769 4.769

***

HfGaFeNi GGA-PBE optimized geometry; relative energy among the computed polymorphs = 0.235 eV/atom; space group = No. 216
1.0
-0.059 3.004 3.151
-2.194 3.716 -0.576
-3.662 0.736 2.238
Fe Ni Ga Hf
1 1 1 1
Cartesian
-4.436 5.592 3.610
-2.958 3.728 2.406
0.000 0.000 0.000
-1.479 1.864 1.203

***

HfGaFeNi GGA-PBE optimized geometry; relative energy among the computed polymorphs = 0.283 eV/atom; space group = No. 216
1.0
0.000 3.081 3.081
3.081 0.000 3.081
3.081 3.081 0.000
Ni Ga Hf Fe
1 1 1 1
Cartesian
4.621 4.621 4.621
0.000 0.000 0.000
1.540 1.540 1.540
3.081 3.081 3.081

***

HfGaFeNi GGA-PBE optimized geometry; relative energy among the computed polymorphs = 0.000 eV/atom; space group = No. 216
1.0
0.000 3.027 3.027
3.027 0.000 3.027
3.027 3.027 0.000
Ni Fe Hf Ga
1 1 1 1
Cartesian
1.514 1.514 1.514
4.541 4.541 4.541
3.027 3.027 3.027
0.000 0.000 0.000

***

HfGaFePd GGA-PBE optimized geometry; relative energy among the computed polymorphs = 0.206 eV/atom; space group = No. 216
1.0
0.000 3.182 3.182
3.182 0.000 3.182
3.182 3.182 0.000
Pd Hf Fe Ga
1 1 1 1
Cartesian
3.182 3.182 3.182
1.591 1.591 1.591
4.773 4.773 4.773
0.000 0.000 0.000

***

HfGaFePd GGA-PBE optimized geometry; relative energy among the computed polymorphs = 0.000 eV/atom; space group = No. 216
1.0
0.000 3.123 3.123
3.123 0.000 3.123
3.123 3.123 0.000
Pd Hf Ga Fe
1 1 1 1
Cartesian
1.562 1.562 1.562
3.123 3.123 3.123
0.000 0.000 0.000
4.685 4.685 4.685

***

HfTaGaFe GGA-PBE optimized geometry; relative energy among the computed polymorphs = 0.000 eV/atom; space group = No. 216
1.0
-1.814 -4.096 -0.557
-2.940 -1.598 3.030
-4.363 -0.408 -1.085
Fe Hf Ga Ta
1 1 1 1
Cartesian
-6.837 -4.577 1.041
-2.279 -1.525 0.347
0.000 0.000 0.000
-4.558 -3.051 0.694

***

HfGaFeW GGA-PBE optimized geometry; relative energy among the computed polymorphs = 0.000 eV/atom; space group = No. 216
1.0
1.876 -2.385 3.278
-1.979 -0.245 3.997
-1.877 -3.828 1.332
Hf Fe Ga W
1 1 1 1
Cartesian
-0.990 -3.229 4.304
-1.485 -4.843 6.455
0.000 0.000 0.000
-0.495 -1.614 2.152

***

YHfGaFe GGA-PBE optimized geometry; relative energy among the computed polymorphs = 0.000 eV/atom; space group = No. 216
1.0
0.000 3.286 3.286
3.286 0.000 3.286
3.286 3.286 0.000
Hf Y Fe Ga
1 1 1 1
Cartesian
3.286 3.286 3.286
1.643 1.643 1.643
4.929 4.929 4.929
0.000 0.000 0.000

***

GaFeHg2 GGA-PBE optimized geometry; space group = No. 216
1.0
3.494 1.691 2.779
-0.622 0.256 4.726
2.394 -2.953 2.886
Fe Hg Ga
1 2 1
Cartesian
1.316 -0.252 2.598
0.000 0.000 0.000
3.949 -0.755 7.793
2.633 -0.503 5.196

***

GaFe2Hg GGA-PBE optimized geometry; space group = No. 216
1.0
0.000 3.111 3.111
3.111 0.000 3.111
3.111 3.111 0.000
Fe Hg Ga
2 1 1
Cartesian
0.000 0.000 0.000
4.667 4.667 4.667
1.556 1.556 1.556
3.111 3.111 3.111

***

GaFeHgMo GGA-PBE optimized geometry; relative energy among the computed polymorphs = 0.000 eV/atom; space group = No. 216
1.0
2.692 -2.841 -2.200
1.846 -3.474 2.164
-1.383 -4.181 -0.875
Mo Ga Hg Fe
1 1 1 1
Cartesian
0.789 -2.624 -0.228
0.000 0.000 0.000
1.578 -5.248 -0.456
2.367 -7.872 -0.684

***

| no. | electronic total energy (eV/atom) | density (g/cm³) |
| --- | --- | --- |
| 1 | -7.77 | 10.3 |
| 2 | -6.87 | 10.3 |
| 3 | -6.82 | 10.3 |
| 4 | -7.11 | 10.9 |
| 5 | -6.86 | 10.6 |
| 6 | -7.07 | 11.2 |
| 7 | -8.13 | 12.4 |
| 8 | -8.37 | 12.9 |
| 9 | -6.89 | 9.2 |
| 10 | -2.52 | 11.4 |
| 11 | -4.64 | 10.5 |
| 12 | -5.12 | 11.0 |